No. 1
This record from Alexandria via LeMat-Bulk describes an optimized crystal structure of SiRh2Cl. The functional is GGA-PBE.

Cell: 3.046 3.339 13.016 Å, 90.00 90.00 90.00°
Space group Amm2 (No. 38)
Symmetry-distinct sites (fractional):
Si  0.000  0.000  0.000 [2 per cell]
Rh  0.000  0.000  0.619 [2 per cell]
Rh  0.500  0.000  0.429 [2 per cell]
Cl  0.500  0.000  0.246 [2 per cell]

Results
- ΔE to the lowest computed polymorph: 101.1 meV/atom
- Raw formation energy: -33 kJ/mol of atoms
- Calculated total energy: -5.835 eV/atom

No. 2
This record from Alexandria via LeMat-Bulk describes an optimized crystal structure of LiTl2CdI6. The functional is GGA-PBE.

Cell: 8.0456 8.0456 21.2900 Å, 90.00 90.00 120.00°
Space group R3 (No. 146, hexagonal axes)
Symmetry-distinct sites (fractional):
Li  0.0000  0.0000  0.0000 [3 per cell]
Tl  0.0000  0.0000  0.1984 [3 per cell]
Tl  0.0000  0.0000  0.7117 [3 per cell]
Cd  0.0000  0.0000  0.5086 [3 per cell]
I  0.0032  0.5947  0.7605 [9 per cell]
I  0.0052  0.3818  0.2602 [9 per cell]

Results
- Raw formation energy: -57 kJ/mol of atoms
- Calculated total energy: -2.275 eV/atom

No. 3
This record from Alexandria via LeMat-Bulk describes an optimized crystal structure of Ho3Er6Cd. The functional is GGA-PBE.

Cell: 10.864 4.953 11.064 Å, 90.00 91.36 90.00°
Space group P2_1/m (No. 11)
Symmetry-distinct sites (fractional):
Ho  0.052  0.250  0.401 [2 per cell]
Ho  0.154  0.750  0.207 [2 per cell]
Ho  0.252  0.250  0.007 [2 per cell]
Er  0.051  0.750  0.898 [2 per cell]
Er  0.153  0.250  0.702 [2 per cell]
Er  0.264  0.750  0.506 [2 per cell]
Er  0.347  0.750  0.808 [2 per cell]
Er  0.362  0.250  0.314 [2 per cell]
Er  0.453  0.750  0.103 [2 per cell]
Cd  0.446  0.250  0.608 [2 per cell]

Results
- ΔE to the lowest computed polymorph: 0.0 meV/atom
- Calculated total energy: -4.219 eV/atom

No. 4
This record from Alexandria via LeMat-Bulk describes an optimized crystal structure of Ta2TlPb. The functional is GGA-PBE.

Cell: 6.393 6.393 12.594 Å, 90.00 90.00 90.00°
Space group I-42d (No. 122)
Symmetry-distinct sites (fractional):
Ta  0.239  0.250  0.125 [8 per cell]
Tl  0.000  0.000  0.000 [4 per cell]
Pb  0.000  0.000  0.500 [4 per cell]

Results
- ΔE to the lowest computed polymorph: 1660.0 meV/atom
- Calculated total energy: -5.427 eV/atom

No. 5
This record from Alexandria via LeMat-Bulk describes an optimized crystal structure of Cs2Ca2Ag. The functional is GGA-PBE.

Cell: 4.761 4.761 21.719 Å, 90.00 90.00 90.00°
Space group I4/mmm (No. 139)
Symmetry-distinct sites (fractional):
Cs  0.000  0.500  0.250 [4 per cell]
Ca  0.000  0.000  0.078 [4 per cell]
Ag  0.000  0.000  0.500 [2 per cell]

Results
- ΔE to the lowest computed polymorph: 399.3 meV/atom
- Calculated total energy: -1.157 eV/atom

No. 6
This record from Alexandria via LeMat-Bulk describes an optimized crystal structure of Ac2Si2Pb. The functional is GGA-PBE.

Cell: 7.950 7.950 4.594 Å, 90.00 90.00 90.00°
Space group P4/mbm (No. 127)
Symmetry-distinct sites (fractional):
Ac  0.181  0.319  0.000 [4 per cell]
Si  0.107  0.607  0.500 [4 per cell]
Pb  0.000  0.000  0.500 [2 per cell]

Results
- ΔE to the lowest computed polymorph: 30.1 meV/atom
- Raw formation energy: -54 kJ/mol of atoms
- Calculated total energy: -5.115 eV/atom

No. 7
This record from Alexandria via LeMat-Bulk describes an optimized crystal structure of Ta2CdPb. The functional is GGA-PBE.

Cell: 3.1010 3.1010 31.5878 Å, 90.00 90.00 120.00°
Space group R3m (No. 160, hexagonal axes)
Symmetry-distinct sites (fractional):
Ta  0.0000  0.0000  0.0000 [3 per cell]
Ta  0.0000  0.0000  0.2585 [3 per cell]
Cd  0.0000  0.0000  0.5141 [3 per cell]
Pb  0.0000  0.0000  0.7504 [3 per cell]

Results
- Calculated total energy: -6.650 eV/atom

No. 8
This record from Alexandria via LeMat-Bulk describes an optimized crystal structure of LaPr4Er2. The functional is GGA-PBE.

Cell: 12.190 24.590 6.534 Å, 90.00 90.00 90.00°
Space group Fdd2 (No. 43)
Symmetry-distinct sites (fractional):
La  0.000  0.000  0.000 [8 per cell]
Pr  0.050  0.072  0.514 [16 per cell]
Pr  0.063  0.143  0.034 [16 per cell]
Er  0.026  0.217  0.561 [16 per cell]

Results
- ΔE to the lowest computed polymorph: 0.0 meV/atom
- Calculated total energy: -4.675 eV/atom

No. 9
This record from Alexandria via LeMat-Bulk describes an optimized crystal structure of NiPbAu2. The functional is GGA-PBE.

Cell: 3.651 3.989 5.591 Å, 90.00 107.60 90.00°
Space group Pm (No. 6)
Symmetry-distinct sites (fractional):
Ni  0.000  0.000  0.000 [1 per cell]
Pb  0.556  0.500  0.135 [1 per cell]
Au  0.255  0.000  0.517 [1 per cell]
Au  0.832  0.500  0.677 [1 per cell]

Results
- Calculated total energy: -3.874 eV/atom

No. 10
This record from Alexandria via LeMat-Bulk describes an optimized crystal structure of NaPmAsPd. The functional is GGA-PBE.

Cell: 7.047 7.047 7.047 Å, 90.00 90.00 90.00°
Space group F-43m (No. 216)
Symmetry-distinct sites (fractional):
Na  0.000  0.000  0.000 [4 per cell]
Pm  0.000  0.000  0.500 [4 per cell]
As  0.250  0.250  0.750 [4 per cell]
Pd  0.250  0.250  0.250 [4 per cell]

Results
- Calculated total energy: -4.635 eV/atom

No. 11
This record from Alexandria via LeMat-Bulk describes an optimized crystal structure of Rb6NaHg. The functional is GGA-PBE.

Cell: 5.108 14.368 15.907 Å, 90.00 90.00 90.00°
Space group Amm2 (No. 38)
Symmetry-distinct sites (fractional):
Rb  0.000  0.000  0.000 [2 per cell]
Rb  0.000  0.162  0.730 [4 per cell]
Rb  0.500  0.000  0.261 [2 per cell]
Rb  0.500  0.223  0.486 [4 per cell]
Na  0.000  0.000  0.496 [2 per cell]
Hg  0.500  0.000  0.621 [2 per cell]

Results
- Calculated total energy: -0.971 eV/atom

No. 12
This record from Alexandria via LeMat-Bulk describes an optimized crystal structure of HgSb2W. The functional is GGA-PBE.

Cell: 4.666 4.666 8.063 Å, 90.00 90.00 90.00°
Space group I4/mmm (No. 139)
Symmetry-distinct sites (fractional):
Hg  0.000  0.000  0.000 [2 per cell]
Sb  0.000  0.500  0.250 [4 per cell]
W  0.000  0.000  0.500 [2 per cell]

Results
- Raw formation energy: 77 kJ/mol of atoms
- Calculated total energy: -4.579 eV/atom

What is the calculated total energy in the eleventh record?
-0.971 eV/atom